Entry 1:
! TlHg2W, optimized geometry, DFT PBE-GGA; values from VASP
&SYSTEM
  ibrav = 0, nat = 4, ntyp = 3
/
ATOMIC_SPECIES
Tl 204.38 Tl.upf
Hg 200.59 Hg.upf
W 183.84 W.upf
ATOMIC_POSITIONS angstrom
Tl 0.000 0.000 0.000
Hg 1.785 1.785 1.785
Hg 5.356 5.356 5.356
W 3.571 3.571 3.571
CELL_PARAMETERS angstrom
0.000 3.571 3.571
3.571 0.000 3.571
3.571 3.571 0.000
! Energy of formation from the pure elements   1.121 eV/atom
! Symmetry   Fm-3m
! Magnetic moment   3.0 μB per cell
! Polymorph energy (0 for the lowest one)   1.82 eV/f.u.


Entry 2:
! TlHg2W, optimized geometry, DFT PBE-GGA; values from VASP
&SYSTEM
  ibrav = 0, nat = 4, ntyp = 3
/
ATOMIC_SPECIES
Tl 204.38 Tl.upf
Hg 200.59 Hg.upf
W 183.84 W.upf
ATOMIC_POSITIONS angstrom
Tl 0.000 0.000 0.000
Hg 0.000 0.000 4.647
Hg 1.467 1.467 7.577
W 1.467 1.467 2.501
CELL_PARAMETERS angstrom
2.933 0.000 0.000
0.000 2.933 0.000
0.000 0.000 10.727
! Energy of formation from the pure elements   0.725 eV/atom
! Symmetry   P4mm
! Magnetic moment   0.0 μB per cell
! Polymorph energy (0 for the lowest one)   0.24 eV/f.u.


Entry 3:
! TlHg2W, optimized geometry, DFT PBE-GGA; values from VASP
&SYSTEM
  ibrav = 0, nat = 4, ntyp = 3
/
ATOMIC_SPECIES
Tl 204.38 Tl.upf
Hg 200.59 Hg.upf
W 183.84 W.upf
ATOMIC_POSITIONS angstrom
Tl 0.000 0.000 0.000
Hg 0.000 0.000 7.351
Hg 0.000 0.000 22.973
W 0.000 0.000 15.162
CELL_PARAMETERS angstrom
1.570 0.906 10.108
-1.570 0.906 10.108
0.000 -1.813 10.108
! Energy of formation from the pure elements   0.666 eV/atom
! Symmetry   R-3m
! Magnetic moment   0.0 μB per cell
! Polymorph energy (0 for the lowest one)   0.00 eV/f.u.


Entry 4:
! TlHg2W, optimized geometry, DFT PBE-GGA; values from VASP
&SYSTEM
  ibrav = 0, nat = 4, ntyp = 3
/
ATOMIC_SPECIES
Tl 204.38 Tl.upf
Hg 200.59 Hg.upf
W 183.84 W.upf
ATOMIC_POSITIONS angstrom
Tl 0.000 0.000 0.000
Hg 0.000 2.660 2.749
Hg 1.475 0.000 2.749
W 1.475 2.660 0.000
CELL_PARAMETERS angstrom
2.951 0.000 0.000
0.000 5.321 0.000
0.000 0.000 5.498
! Energy of formation from the pure elements   0.832 eV/atom
! Symmetry   Pmmm
! Magnetic moment   0.7 μB per cell
! Polymorph energy (0 for the lowest one)   0.66 eV/f.u.


Entry 5:
! TlHg2W, optimized geometry, DFT PBE-GGA; values from VASP
&SYSTEM
  ibrav = 0, nat = 4, ntyp = 3
/
ATOMIC_SPECIES
Tl 204.38 Tl.upf
Hg 200.59 Hg.upf
W 183.84 W.upf
ATOMIC_POSITIONS angstrom
Tl 0.000 0.000 0.000
Hg 0.000 0.000 15.657
Hg 0.000 0.000 23.240
W 0.000 0.000 7.742
CELL_PARAMETERS angstrom
1.561 0.901 10.217
-1.561 0.901 10.217
0.000 -1.802 10.217
! Energy of formation from the pure elements   0.696 eV/atom
! Symmetry   R3m
! Magnetic moment   0.0 μB per cell
! Polymorph energy (0 for the lowest one)   0.12 eV/f.u.


Entry 6:
! Tl4HgW, optimized geometry, DFT PBE-GGA; values from VASP
&SYSTEM
  ibrav = 0, nat = 6, ntyp = 3
/
ATOMIC_SPECIES
Tl 204.38 Tl.upf
Hg 200.59 Hg.upf
W 183.84 W.upf
ATOMIC_POSITIONS angstrom
Tl 1.109 1.109 1.109
Tl 3.339 3.339 1.109
Tl 3.339 1.109 3.339
Tl 1.109 3.339 3.339
Hg 4.448 4.448 4.448
W 6.672 6.672 6.672
CELL_PARAMETERS angstrom
0.000 4.448 4.448
4.448 0.000 4.448
4.448 4.448 0.000
! Energy of formation from the pure elements   1.066 eV/atom
! Symmetry   F-43m
! Magnetic moment   4.1 μB per cell


Entry 7:
! TlHgW3, optimized geometry, DFT PBE-GGA; values from VASP
&SYSTEM
  ibrav = 0, nat = 5, ntyp = 3
/
ATOMIC_SPECIES
Tl 204.38 Tl.upf
Hg 200.59 Hg.upf
W 183.84 W.upf
ATOMIC_POSITIONS angstrom
Tl 0.000 0.000 0.000
Hg 2.487 2.487 2.487
W 0.000 0.000 2.487
W 0.000 2.487 0.000
W 2.487 0.000 0.000
CELL_PARAMETERS angstrom
4.974 0.000 0.000
0.000 4.974 0.000
0.000 0.000 4.974
! Energy of formation from the pure elements   3.170 eV/atom
! Symmetry   Pm-3m
! Magnetic moment   0.0 μB per cell
! Polymorph energy (0 for the lowest one)   0.88 eV/f.u.


Entry 8:
! TlHg2W, optimized geometry, DFT PBE-GGA; values from VASP
&SYSTEM
  ibrav = 0, nat = 4, ntyp = 3
/
ATOMIC_SPECIES
Tl 204.38 Tl.upf
Hg 200.59 Hg.upf
W 183.84 W.upf
ATOMIC_POSITIONS angstrom
Tl 0.000 0.000 0.000
Hg 0.000 0.000 5.149
Hg 1.581 0.000 8.314
W 1.581 0.000 2.681
CELL_PARAMETERS angstrom
1.581 -2.483 0.000
1.581 2.483 0.000
0.000 0.000 11.895
! Energy of formation from the pure elements   0.711 eV/atom
! Symmetry   Cmm2
! Magnetic moment   0.0 μB per cell
! Polymorph energy (0 for the lowest one)   0.18 eV/f.u.


> Which of these has the highest energy of formation from the pure elements?

TlHgW3